No. 1
# LaSm2Y8 (PBE, optimized geometry)
data_LaSm2Y8
_symmetry_space_group_name_H-M 'C 1 2/m 1'
_symmetry_Int_Tables_number 12
_cell_length_a 19.2743
_cell_length_b 7.0710
_cell_length_c 5.5901
_cell_angle_alpha 90.00
_cell_angle_beta 92.97
_cell_angle_gamma 90.00
loop_
_symmetry_equiv_pos_as_xyz
'x,y,z'
'-x,-y,-z'
'-x,y,-z'
'x,-y,z'
'x+1/2,y+1/2,z'
'-x+1/2,-y+1/2,-z'
'-x+1/2,y+1/2,-z'
'x+1/2,-y+1/2,z'
loop_
_atom_site_label
_atom_site_fract_x
_atom_site_fract_y
_atom_site_fract_z
La1 0.0000 0.0000 0.0000
Sm1 0.2155 0.5000 0.2485
Y1 0.0470 0.5000 0.2374
Y2 0.1328 0.2668 0.7309
Y3 0.1879 0.0000 0.2337
# * formation energy: 146 kJ/mol of formula units
# * density of states at the Fermi level: 38.51 states/eV per cell
# * distance to the lowest polymorph of the same formula: 26 meV per atom
# * mass density: 5024 kg/m³



No. 2
# Ac2TmPd2O6 (PBE, optimized geometry)
data_Ac2TmPd2O6
_symmetry_space_group_name_H-M 'R -3 m'
_symmetry_Int_Tables_number 166
_symmetry_space_group_name_Hall '-R 3 2"'
_cell_length_a 6.2074
_cell_length_b 6.2074
_cell_length_c 16.5516
_cell_angle_alpha 90.00
_cell_angle_beta 90.00
_cell_angle_gamma 120.00
loop_
_atom_site_label
_atom_site_fract_x
_atom_site_fract_y
_atom_site_fract_z
Ac1 0.0000 0.0000 0.2111
Tm1 0.0000 0.0000 0.0000
Pd1 0.0000 0.0000 0.4091
O1 0.0438 0.5219 0.7621
# * density of states at the Fermi level: 18.62 states/eV per cell
# * energy relative to the elements, uncorrected: -2.000 eV per atom
# * mass density: 8404 kg/m³



No. 3
# CoBi2Br2 (PBE, optimized geometry)
data_CoBi2Br2
_symmetry_space_group_name_H-M 'P 4/m b m'
_symmetry_Int_Tables_number 127
_symmetry_space_group_name_Hall '-P 4 2ab'
_cell_length_a 6.7305
_cell_length_b 6.7305
_cell_length_c 6.1977
_cell_angle_alpha 90.00
_cell_angle_beta 90.00
_cell_angle_gamma 90.00
loop_
_atom_site_label
_atom_site_fract_x
_atom_site_fract_y
_atom_site_fract_z
Co1 0.0000 0.0000 0.0000
Bi1 0.2273 0.2727 0.5000
Br1 0.1874 0.3126 0.0000
# * density of states at the Fermi level: 8.49 states/eV per cell
# * energy relative to the elements, uncorrected: 0.165 eV per atom
# * distance to the lowest polymorph of the same formula: 0 meV per atom
# * mass density: 7532 kg/m³